The following is a DFT calculation (GGA-PBE) of a relaxed Nd2Y7Ho2 crystal.

The calculation puts the relative energy among the computed polymorphs at 0.0 kJ per mole of atoms. The calculation puts the formation energy from the elements at 108 meV per atom. As for the electronic total energy: -5.705 eV per atom.

The space group is C2/m (No. 12) and the conventional cell measures 8.9635, 9.5420 and 8.7483 Å, with angles of 90.00, 102.26 and 90.00 degrees. The inequivalent atoms are Nd at (0.0000, 0.1777, 0.0000), Y at (0.0000, 0.5000, 0.5000), Y at (0.1494, 0.5000, 0.9052), Y at (0.2366, 0.1818, 0.7047) and Ho at (0.1049, 0.0000, 0.3545).